1.
Density functional theory data (SCAN) for a crystal of InB3Pt relaxed with PBEsol.

Properties
For the magnetization, the calculation gives 0.00 Bohr magnetons per cell. For the density, the calculation gives 7.76 g/cm3. Its formation energy is 1.05 eV/atom. For the uncorrected energy, the calculation gives -120.64 eV/cell.

abc: 4.1844 4.1844 4.1844
angles: 90.00 90.00 90.00
Last column: nearest neighbours and their distance in Å.
Fractional coordinates of all 5 atoms:
In (0.0000, 0.0000, 0.0000)  12 B 2.96
B (0.0000, 0.5000, 0.5000)  2 Pt 2.09
B (0.5000, 0.0000, 0.5000)  2 Pt 2.09
B (0.5000, 0.5000, 0.0000)  2 Pt 2.09
Pt (0.5000, 0.5000, 0.5000)  6 B 2.09

=====

2.
Density functional theory data (SCAN) for a crystal of Rb2InBS relaxed with PBEsol.

Properties
For the magnetization, the calculation gives 0.02 Bohr magnetons per cell. For the density, the calculation gives 3.41 g/cm3. For the uncorrected energy, the calculation gives -90.50 eV/cell.

abc: 6.5400 6.5400 3.7451
angles: 90.00 90.00 90.00
Last column: nearest neighbours and their distance in Å.
Fractional coordinates of all 5 atoms:
Rb (0.0000, 0.5000, 0.0000)  2 S 3.27
Rb (0.5000, 0.0000, 0.0000)  2 S 3.27
In (0.0000, 0.0000, 0.5000)  2 In 3.75, 8 Rb 3.77
B (0.5000, 0.5000, 0.5000)  2 S 1.87
S (0.5000, 0.5000, 0.0000)  2 B 1.87

=====

3.
Density functional theory data (SCAN) for a crystal of InRe3B relaxed with PBEsol.

Properties
For the magnetization, the calculation gives 0.00 Bohr magnetons per cell. For the density, the calculation gives 15.79 g/cm3. Its formation energy is 0.48 eV/atom. For the uncorrected energy, the calculation gives -251.69 eV/cell.

abc: 4.1596 4.1596 4.1596
angles: 90.00 90.00 90.00
Last column: nearest neighbours and their distance in Å.
Fractional coordinates of all 5 atoms:
In (0.0000, 0.0000, 0.0000)  12 Re 2.94
Re (0.0000, 0.5000, 0.5000)  2 B 2.08
Re (0.5000, 0.0000, 0.5000)  2 B 2.08
Re (0.5000, 0.5000, 0.0000)  2 B 2.08
B (0.5000, 0.5000, 0.5000)  6 Re 2.08

=====

4.
Density functional theory data (SCAN) for a crystal of In3ReB relaxed with PBEsol.

Properties
For the magnetization, the calculation gives 1.45 Bohr magnetons per cell. For the density, the calculation gives 9.57 g/cm3. Its formation energy is 1.40 eV/atom. For the uncorrected energy, the calculation gives -171.70 eV/cell.

abc: 4.5461 4.5461 4.5461
angles: 90.00 90.00 90.00
Last column: nearest neighbours and their distance in Å.
Fractional coordinates of all 5 atoms:
In (0.0000, 0.0000, 0.5000)  2 B 2.27
In (0.0000, 0.5000, 0.0000)  2 B 2.27
In (0.5000, 0.0000, 0.0000)  2 B 2.27
Re (0.5000, 0.5000, 0.5000)  12 In 3.21
B (0.0000, 0.0000, 0.0000)  6 In 2.27

=====

5.
Density functional theory data (SCAN) for a crystal of InReB3 relaxed with PBEsol.

Properties
For the magnetization, the calculation gives 2.81 Bohr magnetons per cell. For the density, the calculation gives 7.33 g/cm3. Its formation energy is 3.10 eV/atom. For the uncorrected energy, the calculation gives -111.28 eV/cell.

abc: 4.2271 4.2271 4.2271
angles: 90.00 90.00 90.00
Last column: nearest neighbours and their distance in Å.
Fractional coordinates of all 5 atoms:
In (0.0000, 0.0000, 0.0000)  6 B 2.11
Re (0.5000, 0.5000, 0.5000)  12 B 2.99
B (0.0000, 0.0000, 0.5000)  2 In 2.11
B (0.0000, 0.5000, 0.0000)  2 In 2.11
B (0.5000, 0.0000, 0.0000)  2 In 2.11

=====

6.
Density functional theory data (SCAN) for a crystal of InB2Ru relaxed with PBEsol.

Properties
For the magnetization, the calculation gives 0.00 Bohr magnetons per cell. For the density, the calculation gives 6.36 g/cm3. Its formation energy is 0.66 eV/atom. For the uncorrected energy, the calculation gives -160.90 eV/cell.

abc: 6.1801 6.1801 6.1801
angles: 132.96 132.96 68.71
Last column: nearest neighbours and their distance in Å.
Fractional coordinates of all 8 atoms:
In (0.0000, 0.0000, 0.0000)  4 B 2.39
In (0.7500, 0.2500, 0.5000)  4 B 2.39
B (0.1997, 0.6250, 0.0747)  2 Ru 1.97
B (0.3750, 0.4497, 0.5747)  2 Ru 1.97
B (0.5503, 0.1250, 0.9253)  2 Ru 1.97
B (0.8750, 0.8003, 0.4253)  2 Ru 1.97
Ru (0.2500, 0.7500, 0.5000)  4 B 1.97
Ru (0.5000, 0.5000, 0.0000)  4 B 1.97

=====

Asked for Fermi-level density of states across the records above, the calculation gives 2.9; 4.6; 3.3; 3.5; 2.5; 1.6 states/eV/f.u. in order.